(1)
# ScSb2Te

Crystalline ScSb2Te at its relaxed geometry (GGA-PBE, Alexandria via LeMat-Bulk).

Cell lengths 7.8210, 7.8210, 7.8210 Å; angles 150.22, 150.22, 42.62 degrees
Closest atoms and distances in Å follow each position.
Fractional coordinates of all 4 atoms:
Sc  0.0000  0.0000  0.0000  4 Te 2.84, 2 Sb 3.07
Sb  0.2106  0.2106  0.0000  4 Sb 3.07, 1 Sc 3.07
Sb  0.7894  0.7894  0.0000  4 Sb 3.07, 1 Sc 3.07
Te  0.5000  0.5000  0.0000  4 Sc 2.84

* crystal system: tetragonal
* volume: 117.7 Å³ per cell
* ΔE_f (raw): -0.52 eV/atom

***

(2)
# ScSbTe2

Crystalline ScSbTe2 at its relaxed geometry (GGA-PBE, Alexandria via LeMat-Bulk).

Cell lengths 3.6841, 3.6841, 7.6265 Å; angles 90.00, 90.00, 90.00 degrees
Closest atoms and distances in Å follow each position.
Fractional coordinates of all 4 atoms:
Sc  0.0000  0.0000  0.0000  8 Te 3.07
Sb  0.0000  0.0000  0.5000  8 Te 3.40, 4 Sb 3.68
Te  0.5000  0.5000  0.2130  4 Sc 3.07, 1 Te 3.25, 4 Sb 3.40
Te  0.5000  0.5000  0.7870  4 Sc 3.07, 1 Te 3.25, 4 Sb 3.40

* crystal system: tetragonal
* volume: 103.5 Å³ per cell
* ΔE_f (raw): -0.49 eV/atom

***

(3)
# ScSb2Te

Crystalline ScSb2Te at its relaxed geometry (GGA-PBE, Alexandria via LeMat-Bulk).

Cell lengths 5.2983, 5.2983, 5.2983 Å; angles 60.00, 60.00, 60.00 degrees
Closest atoms and distances in Å follow each position.
Fractional coordinates of all 4 atoms:
Sc  0.0000  0.0000  0.0000  4 Sb 3.24, 4 Te 3.24
Sb  0.5000  0.5000  0.5000  4 Sb 3.24, 4 Te 3.24
Sb  0.7500  0.7500  0.7500  4 Sb 3.24, 4 Sc 3.24
Te  0.2500  0.2500  0.2500  4 Sb 3.24, 4 Sc 3.24

* crystal system: cubic
* volume: 105.2 Å³ per cell
* ΔE_f (raw): -0.14 eV/atom

***

(4)
# Sc8Sb2Te

Crystalline Sc8Sb2Te at its relaxed geometry (GGA-PBE, Alexandria via LeMat-Bulk).

Cell lengths 8.9327, 8.9327, 7.3113 Å; angles 92.31, 92.31, 27.33 degrees
Closest atoms and distances in Å follow each position.
Fractional coordinates of all 11 atoms:
Sc  0.0043  0.0043  0.2667  2 Te 2.87, 1 Sb 3.11, 2 Sc 3.16
Sc  0.2132  0.2132  0.3586  3 Sb 3.01-3.02, 6 Sc 3.16-3.21
Sc  0.3338  0.3338  0.9577  1 Te 2.89, 3 Sb 2.97-3.06, 2 Sc 3.21
Sc  0.4035  0.4035  0.4873  2 Sb 3.06, 8 Sc 3.16-3.40
Sc  0.5965  0.5965  0.5127  2 Sb 3.06, 8 Sc 3.16-3.40
Sc  0.6662  0.6662  0.0423  1 Te 2.89, 3 Sb 2.97-3.06, 2 Sc 3.21
Sc  0.7868  0.7868  0.6414  3 Sb 3.01-3.02, 6 Sc 3.16-3.21
Sc  0.9957  0.9957  0.7333  2 Te 2.87, 1 Sb 3.11, 2 Sc 3.16
Sb  0.1752  0.1752  0.7583  9 Sc 2.97-3.11
Sb  0.8248  0.8248  0.2417  9 Sc 2.97-3.11
Te  0.5000  0.5000  0.0000  6 Sc 2.87-2.89

* crystal system: monoclinic
* volume: 267.6 Å³ per cell
* ΔE_f (raw): -0.54 eV/atom

***

(5)
# ScSbTe2

Crystalline ScSbTe2 at its relaxed geometry (GGA-PBE, Alexandria via LeMat-Bulk).

Cell lengths 7.3356, 7.3356, 5.4014 Å; angles 98.06, 98.06, 26.67 degrees
Closest atoms and distances in Å follow each position.
Fractional coordinates of all 4 atoms:
Sc  0.0000  0.0000  0.0000  4 Te 2.94, 4 Sb 3.19
Sb  0.5000  0.5000  0.5000  2 Te 3.04, 4 Sc 3.19, 2 Sb 3.38
Te  0.3370  0.3370  0.8063  2 Sc 2.94, 1 Sb 3.04
Te  0.6630  0.6630  0.1937  2 Sc 2.94, 1 Sb 3.04

* crystal system: monoclinic
* volume: 129.1 Å³ per cell
* ΔE_f (raw): -0.46 eV/atom

***

(6)
# ScSbTe2

Crystalline ScSbTe2 at its relaxed geometry (GGA-PBE, Alexandria via LeMat-Bulk).

Cell lengths 9.7954, 9.7954, 9.7954 Å; angles 23.41, 23.41, 23.41 degrees
Closest atoms and distances in Å follow each position.
Fractional coordinates of all 4 atoms:
Sc  0.0000  0.0000  0.0000  6 Te 2.89
Sb  0.5000  0.5000  0.5000  2 Te 3.01
Te  0.3946  0.3946  0.3946  3 Sc 2.89, 1 Sb 3.01
Te  0.6054  0.6054  0.6054  3 Sc 2.89, 1 Sb 3.01

* crystal system: trigonal
* volume: 130.3 Å³ per cell
* ΔE_f (raw): -0.57 eV/atom

***

(7)
# ScSbTe

Crystalline ScSbTe at its relaxed geometry (GGA-PBE, Alexandria via LeMat-Bulk).

Cell lengths 9.4371, 9.4371, 9.4371 Å; angles 154.49, 154.49, 36.38 degrees
Closest atoms and distances in Å follow each position.
Fractional coordinates of all 6 atoms:
Sc  0.1406  0.1406  0.0000  5 Te 3.04-3.08, 4 Sb 3.27
Sc  0.8594  0.8594  0.0000  5 Te 3.04-3.08, 4 Sb 3.27
Sb  0.0000  0.5000  0.5000  4 Sb 2.95, 4 Sc 3.27
Sb  0.5000  0.0000  0.5000  4 Sb 2.95, 4 Sc 3.27
Te  0.3101  0.3101  0.0000  5 Sc 3.04-3.08
Te  0.6899  0.6899  0.0000  5 Sc 3.04-3.08

* crystal system: tetragonal
* volume: 155.6 Å³ per cell
* ΔE_f (raw): -0.82 eV/atom

***

(8)
# ScSbTe

Crystalline ScSbTe at its relaxed geometry (GGA-PBE, Alexandria via LeMat-Bulk).

Cell lengths 3.6620, 3.6620, 7.3852 Å; angles 90.00, 90.00, 120.00 degrees
Closest atoms and distances in Å follow each position.
Fractional coordinates of all 3 atoms:
Sc  0.0000  0.0000  0.0000  3 Te 2.86, 3 Sb 3.08
Sb  0.6667  0.3333  0.6968  3 Sc 3.08
Te  0.3333  0.6667  0.2616  3 Sc 2.86

* crystal system: trigonal
* volume: 85.8 Å³ per cell
* ΔE_f (raw): -0.52 eV/atom

***

> Look up the volume of the fifth one.

129.1 Å³ per cell

***

> The lowest ΔE_f (raw) belongs to which entry?

number 7